# PrGeIrO5

A relaxed structure of PrGeIrO5 (PBE, OQMD). Values from VASP.

total DFT energy (no corrections) = -114.769 eV/cell

```
&SYSTEM
  ibrav = 0, nat = 16, ntyp = 4
/
ATOMIC_SPECIES
O 16.00 O.upf
Ir 192.22 Ir.upf
Pr 140.91 Pr.upf
Ge 72.64 Ge.upf
CELL_PARAMETERS angstrom
5.2804 0.0000 0.0000
-1.7333 5.6430 0.0000
-1.3549 -2.7022 6.5710
ATOMIC_POSITIONS angstrom
O -1.5235 3.0007 1.9153
O 0.1085 2.6480 3.8204
O 1.2770 1.0955 6.0952
O 0.9153 1.8453 0.4758
O 2.7208 2.9695 4.2964
O 2.2598 -1.7416 6.2615
O -0.5286 -0.0286 2.2746
O 3.7157 -0.0598 4.6557
Ir -1.5441 1.4704 3.2855
O 2.0838 0.2928 2.7506
Pr 0.6362 -0.7602 4.5879
Ge 1.2341 2.6496 5.2284
Ge 0.9582 0.2912 1.3426
Pr 1.5561 3.7011 1.9831
Ir -0.8666 2.8215 0.0000
O -0.0676 4.6825 0.3095
```